No. 1
Here is a relaxed structure of Y2TePt from Alexandria via LeMat-Bulk. Energies are from PBE-GGA.

POSCAR file:
```
Y2TePt
1.0
5.353 -0.009 -0.001
0.483 5.331 0.001
-2.347 -3.286 3.513
Pt Y Te
1 2 1
direct
0.750 0.250 0.500 Pt
0.514 0.514 0.000 Y
0.986 0.986 0.000 Y
0.250 0.750 0.500 Te
```

- ΔE_f (raw) (eV per atom) = -0.960
- total magnetization (μB/f.u.) = 0.00
- symmetry = Immm (71)
- Fermi-level density of states (states/eV per cell) = 3.0
- density (g/cm³) = 8.29
- calculated total energy (eV/cell) = -25.953


No. 2
Here is a relaxed structure of ZrHgSe2 from Alexandria via LeMat-Bulk. Energies are from PBE-GGA.

POSCAR file:
```
ZrHgSe2
1.0
4.847 -6.000 4.233
6.624 -5.737 0.785
7.400 -3.142 3.575
Se Hg Zr
2 1 1
direct
0.901 0.901 0.901 Se
0.099 0.099 0.099 Se
0.500 0.500 0.500 Hg
0.000 0.000 0.000 Zr
```

- ΔE_f (raw) (eV per atom) = 0.047
- offset from the most stable computed form (eV/atom) = 1.0380
- total magnetization (μB/f.u.) = 0.00
- symmetry = R-3m (166)
- Fermi-level density of states (states/eV per cell) = 2.3
- density (g/cm³) = 6.71
- calculated total energy (eV/cell) = -15.632


No. 3
Here is a relaxed structure of TbTl2F5 from Alexandria via LeMat-Bulk. Energies are from PBE-GGA.

POSCAR file:
```
TbTl2F5
1.0
7.023 0.000 0.000
0.000 7.459 0.000
0.000 0.000 11.529
F Tb Tl
20 4 8
direct
0.376 0.250 0.020 F
0.116 0.750 0.838 F
0.142 0.536 0.069 F
0.876 0.750 0.480 F
0.358 0.964 0.569 F
0.148 0.250 0.816 F
0.352 0.250 0.316 F
0.884 0.250 0.162 F
0.642 0.464 0.431 F
0.142 0.964 0.069 F
0.858 0.464 0.931 F
0.384 0.750 0.338 F
0.624 0.750 0.980 F
0.858 0.036 0.931 F
0.642 0.036 0.431 F
0.852 0.750 0.184 F
0.648 0.750 0.684 F
0.124 0.250 0.520 F
0.616 0.250 0.662 F
0.358 0.536 0.569 F
0.440 0.250 0.502 Tb
0.060 0.250 0.002 Tb
0.940 0.750 0.998 Tb
0.560 0.750 0.498 Tb
0.022 0.999 0.329 Tl
0.978 0.499 0.671 Tl
0.022 0.501 0.329 Tl
0.522 0.001 0.171 Tl
0.522 0.499 0.171 Tl
0.478 0.999 0.829 Tl
0.478 0.501 0.829 Tl
0.978 0.001 0.671 Tl
```

- ΔE_f (raw) (eV per atom) = -2.968
- total magnetization (μB/f.u.) = 0.00
- symmetry = Pnma (62)
- Fermi-level density of states (states/eV per cell) = 0.0
- density (g/cm³) = 7.29
- calculated total energy (eV/cell) = -169.844


No. 4
Here is a relaxed structure of Ag4BiAu from Alexandria via LeMat-Bulk. Energies are from PBE-GGA.

POSCAR file:
```
Ag4BiAu
1.0
-1.464 -5.244 -1.177
2.110 -4.214 2.969
-3.260 -2.837 3.515
Ag Au Bi
4 1 1
direct
0.625 0.625 0.625 Ag
0.625 0.124 0.625 Ag
0.124 0.625 0.625 Ag
0.625 0.625 0.124 Ag
0.000 0.000 0.000 Au
0.250 0.250 0.250 Bi
```

- ΔH_f (0 K) (eV/atom) = 0.11
- offset from the most stable computed form (eV/atom) = 0.0495
- total magnetization (μB/f.u.) = 0.00
- symmetry = F-43m (216)
- Fermi-level density of states (states/eV per cell) = 1.8
- density (g/cm³) = 11.38
- calculated total energy (eV/cell) = -17.894


No. 5
Here is a relaxed structure of SrLa2F from Alexandria via LeMat-Bulk. Energies are from PBE-GGA.

POSCAR file:
```
SrLa2F
1.0
-2.230 -3.094 4.307
-2.994 2.606 4.164
-5.692 -0.754 0.353
La F Sr
2 1 1
direct
0.750 0.750 0.750 La
0.250 0.250 0.250 La
0.000 0.000 0.000 F
0.500 0.500 0.500 Sr
```

- ΔE_f (raw) (eV per atom) = -0.126
- offset from the most stable computed form (eV/atom) = 0.9679
- total magnetization (μB/f.u.) = 0.00
- symmetry = Fm-3m (225)
- Fermi-level density of states (states/eV per cell) = 8.2
- density (g/cm³) = 4.74
- calculated total energy (eV/cell) = -13.911


No. 6
Here is a relaxed structure of PrSmGaRu from Alexandria via LeMat-Bulk. Energies are from PBE-GGA.

POSCAR file:
```
PrSmGaRu
1.0
4.106 0.000 0.000
0.000 4.369 0.000
-2.053 0.000 5.505
Pr Ru Ga Sm
1 1 1 1
direct
0.141 0.000 0.282 Pr
0.436 0.000 0.872 Ru
0.562 0.500 0.125 Ga
0.860 0.500 0.721 Sm
```

- ΔH_f (0 K) (eV/atom) = -0.40
- offset from the most stable computed form (eV/atom) = 0.0000
- total magnetization (μB/f.u.) = 0.00
- symmetry = Amm2 (38)
- Fermi-level density of states (states/eV per cell) = 3.8
- density (g/cm³) = 7.77
- calculated total energy (eV/cell) = -23.386


No. 7
Here is a relaxed structure of RbMgZn2Pt from Alexandria via LeMat-Bulk. Energies are from PBE-GGA.

POSCAR file:
```
RbMgZn2Pt
1.0
5.035 0.000 0.000
0.000 5.035 0.000
0.000 0.000 5.108
Zn Rb Mg Pt
2 1 1 1
direct
0.000 0.500 0.000 Zn
0.500 0.000 0.000 Zn
0.500 0.500 0.500 Rb
0.000 0.000 0.500 Mg
0.000 0.000 0.000 Pt
```

- ΔH_f (0 K) (eV/atom) = -0.29
- total magnetization (μB/f.u.) = 0.00
- symmetry = P4/mmm (123)
- Fermi-level density of states (states/eV per cell) = 1.0
- density (g/cm³) = 5.59
- calculated total energy (eV/cell) = -12.583


No. 8
Here is a relaxed structure of DyTm2Sb3 from Alexandria via LeMat-Bulk. Energies are from PBE-GGA.

POSCAR file:
```
DyTm2Sb3
1.0
-1.211 -1.367 -3.951
-2.089 -5.241 2.455
-4.217 6.042 1.600
Tm Dy Sb
2 1 3
direct
0.834 0.834 0.168 Tm
0.166 0.166 0.832 Tm
0.500 0.500 0.500 Dy
0.831 0.331 0.163 Sb
0.169 0.669 0.837 Sb
0.500 0.000 0.500 Sb
```

- ΔE_f (raw) (eV per atom) = -1.089
- total magnetization (μB/f.u.) = 0.00
- symmetry = Immm (71)
- Fermi-level density of states (states/eV per cell) = 1.2
- density (g/cm³) = 8.22
- calculated total energy (eV/cell) = -32.443


No. 9
Here is a relaxed structure of NaCu2HgBr6 from Alexandria via LeMat-Bulk. Energies are from PBE-GGA.

POSCAR file:
```
NaCu2HgBr6
1.0
7.041 -0.225 -0.233
1.962 9.190 0.143
1.962 -0.198 9.189
Br Cu Na Hg
12 4 2 2
direct
0.081 0.280 0.436 Br
0.897 0.387 0.851 Br
0.849 0.035 0.210 Br
0.651 0.790 0.965 Br
0.419 0.564 0.720 Br
0.397 0.851 0.387 Br
0.103 0.613 0.149 Br
0.581 0.436 0.280 Br
0.151 0.965 0.790 Br
0.349 0.210 0.035 Br
0.603 0.149 0.613 Br
0.919 0.720 0.564 Br
0.224 0.766 0.620 Cu
0.276 0.380 0.234 Cu
0.776 0.234 0.380 Cu
0.724 0.620 0.766 Cu
0.750 0.091 0.909 Na
0.250 0.909 0.091 Na
0.250 0.267 0.733 Hg
0.750 0.733 0.267 Hg
```

- ΔE_f (raw) (eV per atom) = -0.567
- total magnetization (μB/f.u.) = 1.01
- symmetry = C2/c (15)
- Fermi-level density of states (states/eV per cell) = 19.6
- density (g/cm³) = 4.57
- calculated total energy (eV/cell) = -51.049


No. 10
Here is a relaxed structure of NaErGa from Alexandria via LeMat-Bulk. Energies are from PBE-GGA.

POSCAR file:
```
NaErGa
1.0
-0.577 5.376 3.209
-3.793 1.488 2.985
2.570 0.039 6.557
Er Ga Na
2 2 2
direct
0.750 0.500 0.500 Er
0.250 0.500 0.500 Er
0.611 0.000 0.777 Ga
0.389 0.000 0.223 Ga
0.169 0.661 0.000 Na
0.831 0.339 0.000 Na
```

- ΔH_f (0 K) (eV/atom) = -0.02
- total magnetization (μB/f.u.) = 0.00
- symmetry = Fmmm (69)
- Fermi-level density of states (states/eV per cell) = 5.6
- density (g/cm³) = 5.51
- calculated total energy (eV/cell) = -17.933


No. 11
Here is a relaxed structure of LaVCuB2 from Alexandria via LeMat-Bulk. Energies are from PBE-GGA.

POSCAR file:
```
LaVCuB2
1.0
-3.435 -1.430 -1.528
1.462 -4.828 1.231
-1.760 0.384 3.597
B Cu V La
2 1 1 1
direct
0.500 0.000 0.000 B
0.000 0.000 0.500 B
0.000 0.000 0.000 Cu
0.500 0.500 0.500 V
0.000 0.500 0.000 La
```

- ΔH_f (0 K) (eV/atom) = 1.26
- total magnetization (μB/f.u.) = 3.09
- symmetry = P4/mmm (123)
- Fermi-level density of states (states/eV per cell) = 2.8
- density (g/cm³) = 5.44
- calculated total energy (eV/cell) = -25.197


No. 12
Here is a relaxed structure of RbGa2CN from Alexandria via LeMat-Bulk. Energies are from PBE-GGA.

POSCAR file:
```
RbGa2CN
1.0
-5.406 1.399 -3.685
0.743 -4.556 -2.820
-3.833 -3.324 4.361
Ga Rb N C
2 1 1 1
direct
0.500 0.000 0.000 Ga
0.000 0.000 0.500 Ga
0.000 0.000 0.000 Rb
0.500 0.500 0.500 N
0.000 0.500 0.000 C
```

- ΔE_f (raw) (eV per atom) = 2.870
- total magnetization (μB/f.u.) = 3.97
- symmetry = P4/mmm (123)
- Fermi-level density of states (states/eV per cell) = 4.6
- density (g/cm³) = 1.72
- calculated total energy (eV/cell) = -10.221


Q: Which value of calculated total energy does entry 4 give?
A: -17.894 eV/cell


Q: Which of these has the highest Fermi-level density of states?
A: NaCu2HgBr6


Q: What is the total magnetization in the twelfth record?
A: 3.97 μB/f.u.


Q: What is the Fermi-level density of states in the fourth record?
A: 1.8 states/eV per cell